(1)
Sm4Te2IrS: relaxed, PBE.

As for the crystal system: monoclinic. The value obtained for the total energy is -0.2259 hartree per atom. Its density of states at the Fermi level is 6.2 states/eV/cell. For the mass density, the calculation gives 8.0 g/cm3.

Cell: 4.182 7.413 7.623 Å, 108.46 90.00 90.00°
Fractional positions:
Sm  0.500  0.757  0.786
Sm  0.000  0.726  0.208
Sm  0.000  0.274  0.792
Sm  0.500  0.243  0.214
Te  0.000  0.500  0.500
Te  0.500  0.000  0.500
Ir  0.500  0.500  0.000
S  0.000  0.000  0.000

(2)
Tc3WC: relaxed, PBE.

As for the crystal system: cubic. The value obtained for the total energy is -0.2783 hartree per atom. The value obtained for the polymorph energy (0 for the lowest one) is 3001 meV/atom. Its density of states at the Fermi level is 5.2 states/eV/cell. The calculation puts the formation energy at 15.41 eV per formula unit. For the mass density, the calculation gives 7.8 g/cm3.

Cell: 4.707 4.707 4.707 Å, 90.00 90.00 90.00°
Fractional positions:
Tc  0.500  0.000  0.000
Tc  0.000  0.500  0.000
Tc  0.000  0.000  0.500
W  0.000  0.000  0.000
C  0.500  0.500  0.500

(3)
LaPmSiI: relaxed, PBE.

As for the crystal system: trigonal. The value obtained for the total energy is -0.1885 hartree per atom. Its density of states at the Fermi level is 2.8 states/eV/cell. For the mass density, the calculation gives 5.7 g/cm3.

Cell: 4.309 4.309 8.320 Å, 90.00 105.01 120.00°
Fractional positions:
La  0.505  0.151  0.671
I  0.962  0.379  0.356
Pm  0.102  0.949  0.066
Si  0.309  0.553  0.877